# ZrTaZn3

ZrTaZn3 at its PBEsol-relaxed geometry (SCAN, the Alexandria database).

POSCAR file:
```
ZrTaZn3
1.0
4.730 0.000 0.000
0.000 4.730 0.000
0.000 0.000 4.730
Zn Zr Ta
3 1 1
direct
0.000 0.500 0.000
0.000 0.000 0.500
0.500 0.000 0.000
0.500 0.500 0.500
0.000 0.000 0.000
```

- DFT total energy: -133.2 eV per formula unit
- Energy of formation: 0.9280 eV per atom
- Space group: Pm-3m
- N(E_F): 1.30 states/eV per atom
- Density: 7.351 g/cm3
- V: 21.163 Å³/atom